Compound: FeMo2C
Source: Alexandria
Functional: GGA-PBE
Structure: relaxed

The energy relative to the elements comes out at 79.2 kJ per mole of atoms. The crystal system is tetragonal.

The structure belongs to space group I-42d (No. 122); the cell edges are 5.073, 5.073 and 9.510 Å and the angles 90.00°, 90.00° and 90.00°. The asymmetric unit holds Fe at (0.000, 0.000, 0.000), Mo at (0.201, 0.250, 0.625) and C at (0.000, 0.000, 0.500).

---

Compound: LaSb2Rh
Source: Alexandria
Functional: GGA-PBE
Structure: relaxed

The crystal system is cubic. As for the uncorrected formation energy: -1.5 eV per formula unit.

The structure belongs to space group Fm-3m (No. 225); the cell edges are 7.271, 7.271 and 7.271 Å and the angles 90.00°, 90.00° and 90.00°. The asymmetric unit holds La at (0.000, 0.000, 0.000), Sb at (0.250, 0.250, 0.250) and Rh at (0.000, 0.000, 0.500).

---

Compound: AcPa3Pd4S12
Source: Alexandria
Functional: GGA-PBE
Structure: relaxed

The crystal system is trigonal. As for the uncorrected formation energy: -18.4 eV per formula unit.

The structure belongs to space group R32 (No. 155, hexagonal axes); the cell edges are 13.3912, 13.3912 and 10.3467 Å and the angles 90.00°, 90.00° and 120.00°. The asymmetric unit holds Ac at (0.0000, 0.0000, 0.0000), Pa at (0.0000, 0.5638, 0.0000), Pd at (0.0000, 0.0000, 0.5000), Pd at (0.0000, 0.4141, 0.5000), S at (0.0000, 0.5879, 0.5000), S at (0.0000, 0.8310, 0.5000) and S at (0.0516, 0.1922, 0.1898).

---

Compound: Ti3CdN
Source: Alexandria
Functional: GGA-PBE
Structure: relaxed

The crystal system is monoclinic. As for the uncorrected formation energy: -3.9 eV per formula unit.

The structure belongs to space group C2/c (No. 15); the cell edges are 9.622, 12.242 and 5.162 Å and the angles 90.00°, 90.66° and 90.00°. The asymmetric unit holds Ti at (0.112, 0.068, 0.420), Ti at (0.124, 0.185, 0.918), Ti at (0.126, 0.304, 0.440), Cd at (0.133, 0.437, 0.935), N at (0.000, 0.063, 0.750) and N at (0.000, 0.194, 0.250).

---

Compound: CsY2GaSn
Source: Alexandria
Functional: GGA-PBE
Structure: relaxed

The energy relative to the elements comes out at 30.1 kJ per mole of atoms. The crystal system is tetragonal.

The structure belongs to space group P4/mmm (No. 123); the cell edges are 5.687, 5.687 and 5.740 Å and the angles 90.00°, 90.00° and 90.00°. The asymmetric unit holds Cs at (0.000, 0.000, 0.000), Y at (0.000, 0.500, 0.500), Ga at (0.000, 0.000, 0.500) and Sn at (0.500, 0.500, 0.000).

---

Compound: LiCdPdAu
Source: Alexandria
Functional: GGA-PBE
Structure: relaxed

The energy relative to the elements comes out at -42.4 kJ per mole of atoms. The crystal system is tetragonal.

The structure belongs to space group I-4m2 (No. 119); the cell edges are 4.097, 4.097 and 7.932 Å and the angles 90.00°, 90.00° and 90.00°. The asymmetric unit holds Li at (0.000, 0.000, 0.000), Cd at (0.000, 0.000, 0.500), Pd at (0.000, 0.500, 0.250) and Au at (0.000, 0.500, 0.750).

---

Compound: Nd4ZrTl5
Source: Alexandria
Functional: GGA-PBE
Structure: relaxed

The energy relative to the elements comes out at -28.3 kJ per mole of atoms. The crystal system is tetragonal.

The structure belongs to space group P4/mmm (No. 123); the cell edges are 3.867, 3.867 and 18.954 Å and the angles 90.00°, 90.00° and 90.00°. The asymmetric unit holds Nd at (0.000, 0.000, 0.105), Nd at (0.000, 0.000, 0.314), Zr at (0.000, 0.000, 0.500), Tl at (0.500, 0.500, 0.000), Tl at (0.500, 0.500, 0.209) and Tl at (0.500, 0.500, 0.415).

---

Compound: CeSc2Si
Source: Alexandria
Functional: GGA-PBE
Structure: relaxed

The crystal system is trigonal. The value obtained for the energy above the lowest structure with this stoichiometry is 4.48 kcal/mol of atoms. As for the uncorrected formation energy: -0.5 eV per formula unit.

The structure belongs to space group R-3m (No. 166, hexagonal axes); the cell edges are 3.3215, 3.3215 and 28.9287 Å and the angles 90.00°, 90.00° and 120.00°. The asymmetric unit holds Ce at (0.0000, 0.0000, 0.0000), Sc at (0.0000, 0.0000, 0.2347) and Si at (0.0000, 0.0000, 0.5000).

---

Compound: ReHg2As
Source: Alexandria
Functional: GGA-PBE
Structure: relaxed

The energy relative to the elements comes out at 82.9 kJ per mole of atoms. The crystal system is orthorhombic.

The structure belongs to space group Cmmm (No. 65); the cell edges are 5.934, 8.887 and 2.872 Å and the angles 90.00°, 90.00° and 90.00°. The asymmetric unit holds Re at (0.000, 0.000, 0.000), Hg at (0.250, 0.250, 0.500) and As at (0.000, 0.500, 0.000).

---

Compound: Cs3RbHg2F8
Source: Alexandria
Functional: GGA-PBE
Structure: relaxed

The crystal system is trigonal. As for the uncorrected formation energy: -30.0 eV per formula unit.

The structure belongs to space group P-3m1 (No. 164); the cell edges are 6.8674, 6.8674 and 8.8210 Å and the angles 90.00°, 90.00° and 120.00°. The asymmetric unit holds Cs at (0.0000, 0.0000, 0.0000), Cs at (0.3333, 0.6667, 0.6153), Rb at (0.0000, 0.0000, 0.5000), Hg at (0.3333, 0.6667, 0.1713), F at (0.1751, 0.3503, 0.3083) and F at (0.3333, 0.6667, 0.9308).

---

Compound: PrHo12Er6
Source: Alexandria
Functional: GGA-PBE
Structure: relaxed

The energy relative to the elements comes out at 15.3 kJ per mole of atoms. The crystal system is trigonal. The value obtained for the energy above the lowest structure with this stoichiometry is 0.00 kcal/mol of atoms.

The structure belongs to space group R-3 (No. 148, hexagonal axes); the cell edges are 11.8077, 11.8077 and 15.0878 Å and the angles 90.00°, 90.00° and 120.00°. The asymmetric unit holds Pr at (0.0000, 0.0000, 0.0000), Ho at (0.0187, 0.8356, 0.1918), Ho at (0.0404, 0.8511, 0.4158) and Er at (0.0081, 0.4221, 0.6785).

---

Compound: La2CuAg5
Source: Alexandria
Functional: GGA-PBE
Structure: relaxed

The energy relative to the elements comes out at -15.4 kJ per mole of atoms. The crystal system is orthorhombic.

The structure belongs to space group Cmcm (No. 63); the cell edges are 4.458, 16.835 and 9.926 Å and the angles 90.00°, 90.00° and 90.00°. The asymmetric unit holds La at (0.000, 0.000, 0.000), La at (0.000, 0.194, 0.250), Cu at (0.000, 0.445, 0.750), Ag at (0.000, 0.189, 0.610), Ag at (0.000, 0.358, 0.531) and Ag at (0.000, 0.400, 0.250).